No. 1
Here is SbTe2Pb after structural relaxation from the Alexandria database. Energies are from PBE.

Properties
space group: Pmmm
ΔE_f (raw): 127 meV per atom

Unit cell a=3.829 b=5.342 c=5.810 alpha=90.00 beta=90.00 gamma=90.00
Positions (direct):
Sb1 0.000 0.000 0.000
Te1 0.000 0.500 0.500
Te2 0.500 0.500 0.000
Pb1 0.500 0.000 0.500


No. 2
Here is RbTiBi2 after structural relaxation from the Alexandria database. Energies are from PBE.

Properties
space group: R-3m
relative energy among the computed polymorphs: 20 meV per atom
formation enthalpy at 0 K: -2.695 kcal/mol of atoms

Unit cell a=4.332 b=4.332 c=25.490 alpha=90.00 beta=90.00 gamma=120.00
Positions (direct):
Rb1 0.000 0.000 0.000
Rb2 0.333 0.667 0.667
Rb3 0.667 0.333 0.333
Ti1 0.000 0.000 0.500
Ti2 0.333 0.667 0.167
Ti3 0.667 0.333 0.833
Bi1 0.000 0.000 0.224
Bi2 0.000 0.000 0.776
Bi3 0.333 0.667 0.443
Bi4 0.333 0.667 0.891
Bi5 0.667 0.333 0.109
Bi6 0.667 0.333 0.557


No. 3
Here is CrReW2 after structural relaxation from the Alexandria database. Energies are from PBE.

Properties
space group: C2/m
relative energy among the computed polymorphs: 61 meV per atom
formation enthalpy at 0 K: 2.035 kcal/mol of atoms

Unit cell a=5.380 b=8.718 c=2.704 alpha=90.00 beta=109.66 gamma=90.00
Positions (direct):
Cr1 0.000 0.000 0.000
Cr2 0.500 0.500 0.000
Re1 0.000 0.500 0.000
Re2 0.500 0.000 0.000
W1 0.250 0.250 0.500
W2 0.250 0.750 0.500
W3 0.750 0.250 0.500
W4 0.750 0.750 0.500


No. 4
Here is NaTiGa2 after structural relaxation from the Alexandria database. Energies are from PBE.

Properties
space group: Fm-3m
relative energy among the computed polymorphs: 213 meV per atom
formation enthalpy at 0 K: 0.823 kcal/mol of atoms

Unit cell a=6.604 b=6.604 c=6.604 alpha=90.00 beta=90.00 gamma=90.00
Positions (direct):
Na1 0.000 0.000 0.000
Na2 0.000 0.500 0.500
Na3 0.500 0.000 0.500
Na4 0.500 0.500 0.000
Ti1 0.000 0.000 0.500
Ti2 0.000 0.500 0.000
Ti3 0.500 0.000 0.000
Ti4 0.500 0.500 0.500
Ga1 0.250 0.250 0.250
Ga2 0.250 0.250 0.750
Ga3 0.250 0.750 0.250
Ga4 0.250 0.750 0.750
Ga5 0.750 0.250 0.250
Ga6 0.750 0.250 0.750
Ga7 0.750 0.750 0.250
Ga8 0.750 0.750 0.750


No. 5
Here is Ca2BiPbO4 after structural relaxation from the Alexandria database. Energies are from PBE.

Properties
space group: C2/c
ΔE_f (raw): -1813 meV per atom

Unit cell a=6.914 b=6.914 c=7.083 alpha=116.18 beta=116.18 gamma=90.22
Positions (direct):
Ca1 0.000 0.000 0.000
Ca2 0.000 0.000 0.500
Ca3 0.000 0.500 0.000
Ca4 0.500 0.000 0.500
Bi1 0.500 0.500 0.000
Bi2 0.500 0.500 0.500
Pb1 0.000 0.500 0.500
Pb2 0.500 0.000 0.000
O1 0.198 0.221 0.915
O2 0.221 0.198 0.415
O3 0.251 0.749 0.020
O4 0.251 0.749 0.480
O5 0.749 0.251 0.520
O6 0.749 0.251 0.980
O7 0.779 0.802 0.585
O8 0.802 0.779 0.085


No. 6
Here is B2TeH after structural relaxation from the Alexandria database. Energies are from PBE.

Properties
space group: I-42d
relative energy among the computed polymorphs: 0 meV per atom

Unit cell a=3.555 b=3.555 c=13.503 alpha=90.00 beta=90.00 gamma=90.00
Positions (direct):
B1 0.081 0.250 0.125
B2 0.250 0.581 0.375
B3 0.250 0.919 0.875
B4 0.419 0.250 0.625
B5 0.581 0.750 0.625
B6 0.750 0.081 0.875
B7 0.750 0.419 0.375
B8 0.919 0.750 0.125
Te1 0.000 0.000 0.500
Te2 0.000 0.500 0.750
Te3 0.500 0.000 0.250
Te4 0.500 0.500 0.000
H1 0.000 0.000 0.000
H2 0.000 0.500 0.250
H3 0.500 0.000 0.750
H4 0.500 0.500 0.500


No. 7
Here is CdCo2Ni after structural relaxation from the Alexandria database. Energies are from PBE.

Properties
space group: Fm-3m
relative energy among the computed polymorphs: 223 meV per atom
formation enthalpy at 0 K: 8.749 kcal/mol of atoms

Unit cell a=5.954 b=5.954 c=5.954 alpha=90.00 beta=90.00 gamma=90.00
Positions (direct):
Cd1 0.000 0.000 0.000
Cd2 0.000 0.500 0.500
Cd3 0.500 0.000 0.500
Cd4 0.500 0.500 0.000
Co1 0.250 0.250 0.250
Co2 0.250 0.250 0.750
Co3 0.250 0.750 0.250
Co4 0.250 0.750 0.750
Co5 0.750 0.250 0.250
Co6 0.750 0.250 0.750
Co7 0.750 0.750 0.250
Co8 0.750 0.750 0.750
Ni1 0.000 0.000 0.500
Ni2 0.000 0.500 0.000
Ni3 0.500 0.000 0.000
Ni4 0.500 0.500 0.500


No. 8
Here is Nd3SmHg7 after structural relaxation from the Alexandria database. Energies are from PBE.

Properties
space group: Cmcm
formation enthalpy at 0 K: -7.738 kcal/mol of atoms

Unit cell a=12.680 b=12.680 c=13.235 alpha=90.00 beta=90.00 gamma=162.97
Positions (direct):
Nd1 0.143 0.857 0.572
Nd2 0.143 0.857 0.928
Nd3 0.178 0.822 0.250
Nd4 0.822 0.178 0.750
Nd5 0.857 0.143 0.072
Nd6 0.857 0.143 0.428
Sm1 0.020 0.980 0.250
Sm2 0.980 0.020 0.750
Hg1 0.274 0.726 0.579
Hg2 0.274 0.726 0.921
Hg3 0.306 0.694 0.250
Hg4 0.403 0.597 0.614
Hg5 0.403 0.597 0.886
Hg6 0.462 0.538 0.091
Hg7 0.462 0.538 0.409
Hg8 0.538 0.462 0.591
Hg9 0.538 0.462 0.909
Hg10 0.597 0.403 0.114
Hg11 0.597 0.403 0.386
Hg12 0.694 0.306 0.750
Hg13 0.726 0.274 0.079
Hg14 0.726 0.274 0.421


- Which formula does entry 6 have?
  B2TeH